[1]
{"formula": "KI4O12", "functional": "PBE", "state": "relaxed", "final_energy_ev_per_cell": -69.666, "space_group": "No. 204", "lattice_angstrom": [[-3.9546, 3.9546, 3.9546], [3.9546, -3.9546, 3.9546], [3.9546, 3.9546, -3.9546]], "species": ["K", "I", "I", "I", "I", "O", "O", "O", "O", "O", "O", "O", "O", "O", "O", "O", "O"], "fractional_positions": [[0.0000, 0.0000, 0.0000], [0.0000, 0.0000, 0.5000], [0.0000, 0.5000, 0.0000], [0.5000, 0.0000, 0.0000], [0.5000, 0.5000, 0.5000], [0.0711, 0.2806, 0.7905], [0.2095, 0.4901, 0.2806], [0.2095, 0.9289, 0.7194], [0.2806, 0.2095, 0.4901], [0.2806, 0.7905, 0.0711], [0.4901, 0.2806, 0.2095], [0.5099, 0.7194, 0.7905], [0.7194, 0.2095, 0.9289], [0.7194, 0.7905, 0.5099], [0.7905, 0.0711, 0.2806], [0.7905, 0.5099, 0.7194], [0.9289, 0.7194, 0.2095]]}

---

[2]
{"formula": "Ba5Y", "functional": "PBE", "state": "relaxed", "final_energy_ev_per_cell": -15.376, "space_group": "No. 123", "polymorph_energy_ev_per_atom": 0.0000, "ef_ev_per_atom": 0.117, "lattice_angstrom": [[4.4895, 0.0000, 0.0000], [0.0000, 4.4895, 0.0000], [0.0000, 0.0000, 16.8206]], "species": ["Ba", "Ba", "Ba", "Ba", "Ba", "Y"], "fractional_positions": [[0.0000, 0.0000, 0.0000], [0.0000, 0.0000, 0.3684], [0.0000, 0.0000, 0.6316], [0.5000, 0.5000, 0.1895], [0.5000, 0.5000, 0.8105], [0.5000, 0.5000, 0.5000]]}

---

[3]
{"formula": "UHgPd", "functional": "PBE", "state": "relaxed", "final_energy_ev_per_cell": -16.964, "space_group": "No. 107", "ef_ev_per_atom": -0.060, "lattice_angstrom": [[-1.6312, 1.6312, 5.9639], [1.6312, -1.6312, 5.9639], [1.6312, 1.6312, -5.9639]], "species": ["U", "Hg", "Pd"], "fractional_positions": [[0.0000, 0.0000, 0.0000], [0.3057, 0.3057, 0.0000], [0.6533, 0.6533, 0.0000]]}

---

[4]
{"formula": "NaIn2SbH", "functional": "PBE", "state": "relaxed", "final_energy_ev_per_cell": -14.274, "space_group": "No. 123", "lattice_angstrom": [[4.8455, 0.0000, 0.0000], [0.0000, 4.8455, 0.0000], [0.0000, 0.0000, 4.7139]], "species": ["Na", "In", "In", "Sb", "H"], "fractional_positions": [[0.0000, 0.0000, 0.0000], [0.0000, 0.5000, 0.5000], [0.5000, 0.0000, 0.5000], [0.5000, 0.5000, 0.0000], [0.0000, 0.0000, 0.5000]]}

---

[5]
{"formula": "CeY4Tm", "functional": "PBE", "state": "relaxed", "final_energy_ev_per_cell": -71.584, "space_group": "No. 63", "polymorph_energy_ev_per_atom": 0.0000, "ef_ev_per_atom": 0.078, "lattice_angstrom": [[5.2569, -6.5697, 0.0000], [5.2569, 6.5697, 0.0000], [0.0000, 0.0000, 5.5557]], "species": ["Ce", "Ce", "Y", "Y", "Y", "Y", "Y", "Y", "Y", "Y", "Tm", "Tm"], "fractional_positions": [[0.1815, 0.8185, 0.7500], [0.8185, 0.1815, 0.2500], [0.1007, 0.2317, 0.7500], [0.1596, 0.5048, 0.2500], [0.2317, 0.1007, 0.2500], [0.4952, 0.8404, 0.2500], [0.5048, 0.1596, 0.7500], [0.7683, 0.8993, 0.7500], [0.8404, 0.4952, 0.7500], [0.8993, 0.7683, 0.2500], [0.4370, 0.5630, 0.7500], [0.5630, 0.4370, 0.2500]]}

---

[6]
{"formula": "Al2PSe", "functional": "PBE", "state": "relaxed", "final_energy_ev_per_cell": -35.777, "space_group": "No. 122", "polymorph_energy_ev_per_atom": 0.0963, "lattice_angstrom": [[-2.8380, 2.8380, 5.6672], [2.8380, -2.8380, 5.6672], [2.8380, 2.8380, -5.6672]], "species": ["Al", "Al", "Al", "Al", "P", "P", "Se", "Se"], "fractional_positions": [[0.0958, 0.6250, 0.9708], [0.3750, 0.3458, 0.4708], [0.6542, 0.1250, 0.0292], [0.8750, 0.9042, 0.5292], [0.0000, 0.0000, 0.0000], [0.7500, 0.2500, 0.5000], [0.2500, 0.7500, 0.5000], [0.5000, 0.5000, 0.0000]]}

---

[7]
{"formula": "Cd2SbSe", "functional": "PBE", "state": "relaxed", "final_energy_ev_per_cell": -9.458, "space_group": "No. 160", "lattice_angstrom": [[1.9644, 1.1341, 7.6986], [-1.9644, 1.1341, 7.6986], [0.0000, -2.2683, 7.6986]], "species": ["Cd", "Cd", "Sb", "Se"], "fractional_positions": [[0.0000, 0.0000, 0.0000], [0.2486, 0.2486, 0.2486], [0.4925, 0.4925, 0.4925], [0.7445, 0.7445, 0.7445]]}

---

[8]
{"formula": "Pm4Ho9Al11", "functional": "PBE", "state": "relaxed", "final_energy_ev_per_cell": -109.046, "space_group": "No. 65", "ef_ev_per_atom": -0.320, "lattice_angstrom": [[7.7222, -11.2540, 0.0000], [7.7222, 11.2540, 0.0000], [0.0000, 0.0000, 3.3584]], "species": ["Pm", "Pm", "Pm", "Pm", "Ho", "Ho", "Ho", "Ho", "Ho", "Ho", "Ho", "Ho", "Ho", "Al", "Al", "Al", "Al", "Al", "Al", "Al", "Al", "Al", "Al", "Al"], "fractional_positions": [[0.0978, 0.2618, 0.0000], [0.2618, 0.0978, 0.0000], [0.7382, 0.9022, 0.0000], [0.9022, 0.7382, 0.0000], [0.0000, 0.0000, 0.0000], [0.1108, 0.6656, 0.0000], [0.2956, 0.4934, 0.0000], [0.3344, 0.8892, 0.0000], [0.4934, 0.2956, 0.0000], [0.5066, 0.7044, 0.0000], [0.6656, 0.1108, 0.0000], [0.7044, 0.5066, 0.0000], [0.8892, 0.3344, 0.0000], [0.0880, 0.4649, 0.5000], [0.1207, 0.8793, 0.5000], [0.3100, 0.3100, 0.5000], [0.3097, 0.6903, 0.5000], [0.4649, 0.0880, 0.5000], [0.5000, 0.5000, 0.5000], [0.5351, 0.9120, 0.5000], [0.6903, 0.3097, 0.5000], [0.6900, 0.6900, 0.5000], [0.8793, 0.1207, 0.5000], [0.9120, 0.5351, 0.5000]]}

---

[9]
{"formula": "Pu2ScS3", "functional": "PBE", "state": "relaxed", "final_energy_ev_per_cell": -115.731, "space_group": "No. 194", "polymorph_energy_ev_per_atom": 0.0000, "lattice_angstrom": [[3.8422, 0.0000, 0.0000], [-1.9211, 3.3274, 0.0000], [0.0000, 0.0000, 19.3513]], "species": ["Pu", "Pu", "Pu", "Pu", "Sc", "Sc", "S", "S", "S", "S", "S", "S"], "fractional_positions": [[0.3333, 0.6667, 0.0874], [0.3333, 0.6667, 0.4126], [0.6667, 0.3333, 0.5874], [0.6667, 0.3333, 0.9126], [0.0000, 0.0000, 0.2500], [0.0000, 0.0000, 0.7500], [0.0000, 0.0000, 0.0000], [0.0000, 0.0000, 0.5000], [0.3333, 0.6667, 0.6710], [0.3333, 0.6667, 0.8290], [0.6667, 0.3333, 0.1710], [0.6667, 0.3333, 0.3290]]}

---

[10]
{"formula": "BeTcAs2Se", "functional": "PBE", "state": "relaxed", "final_energy_ev_per_cell": -22.730, "space_group": "No. 123", "polymorph_energy_ev_per_atom": 0.0000, "lattice_angstrom": [[4.3103, 0.0000, 0.0000], [0.0000, 4.3103, 0.0000], [0.0000, 0.0000, 4.7591]], "species": ["Be", "Tc", "As", "As", "Se"], "fractional_positions": [[0.0000, 0.0000, 0.0000], [0.5000, 0.5000, 0.5000], [0.0000, 0.5000, 0.0000], [0.5000, 0.0000, 0.0000], [0.0000, 0.0000, 0.5000]]}

---

[11]
{"formula": "Hg3S2Cl2", "functional": "PBE", "state": "relaxed", "final_energy_ev_per_cell": -14.838, "space_group": "No. 12", "polymorph_energy_ev_per_atom": 0.1049, "lattice_angstrom": [[7.2358, -1.9950, 0.0000], [7.2358, 1.9950, 0.0000], [-3.1730, 0.0000, 6.8089]], "species": ["Hg", "Hg", "Hg", "S", "S", "Cl", "Cl"], "fractional_positions": [[0.0000, 0.0000, 0.0000], [0.2523, 0.2523, 0.7589], [0.7477, 0.7477, 0.2411], [0.1500, 0.1500, 0.3011], [0.8500, 0.8500, 0.6989], [0.3702, 0.3702, 0.1894], [0.6298, 0.6298, 0.8106]]}

---

[12]
{"formula": "SiSn2Au2", "functional": "PBE", "state": "relaxed", "final_energy_ev_per_cell": -38.701, "space_group": "No. 127", "polymorph_energy_ev_per_atom": 0.0000, "lattice_angstrom": [[6.9486, 0.0000, 0.0000], [0.0000, 6.9486, 0.0000], [0.0000, 0.0000, 4.5937]], "species": ["Si", "Si", "Sn", "Sn", "Sn", "Sn", "Au", "Au", "Au", "Au"], "fractional_positions": [[0.0000, 0.0000, 0.0000], [0.5000, 0.5000, 0.0000], [0.1677, 0.3323, 0.5000], [0.3323, 0.8323, 0.5000], [0.6677, 0.1677, 0.5000], [0.8323, 0.6677, 0.5000], [0.1493, 0.6493, 0.0000], [0.3507, 0.1493, 0.0000], [0.6493, 0.8507, 0.0000], [0.8507, 0.3507, 0.0000]]}

---

Q: Which formula does entry 2 have?
A: Ba5Y

---

Repeat the seventh record exactly.
{"formula": "Cd2SbSe", "functional": "PBE", "state": "relaxed", "final_energy_ev_per_cell": -9.458, "space_group": "No. 160", "lattice_angstrom": [[1.9644, 1.1341, 7.6986], [-1.9644, 1.1341, 7.6986], [0.0000, -2.2683, 7.6986]], "species": ["Cd", "Cd", "Sb", "Se"], "fractional_positions": [[0.0000, 0.0000, 0.0000], [0.2486, 0.2486, 0.2486], [0.4925, 0.4925, 0.4925], [0.7445, 0.7445, 0.7445]]}